## Sr3BO4 (GGA-PBE)

Data for a relaxed Sr3BO4 crystal.

For the spin magnetization, the calculation gives 1.0 μB/f.u. Its total energy is -100.4 eV for the cell shown. For the formation energy (no corrections), the calculation gives -2.33 eV per atom. The space group is Pmn2_1, No. 31.

abc: 7.1805 6.0350 5.8543
angles: 90.00 90.00 90.00
Positions (direct):
Sr (0.0000, 0.0669, 0.0000)
Sr (0.2295, 0.3832, 0.4737)
Sr (0.2705, 0.6168, 0.9737)
Sr (0.5000, 0.9331, 0.5000)
Sr (0.7295, 0.6168, 0.9737)
Sr (0.7705, 0.3832, 0.4737)
B (0.0000, 0.8393, 0.4799)
B (0.5000, 0.1607, 0.9799)
O (0.0000, 0.0797, 0.4213)
O (0.0000, 0.6908, 0.2482)
O (0.1730, 0.7804, 0.6110)
O (0.3270, 0.2196, 0.1110)
O (0.5000, 0.3092, 0.7482)
O (0.5000, 0.9203, 0.9213)
O (0.6730, 0.2196, 0.1110)
O (0.8270, 0.7804, 0.6110)



## Sm5Al4Cu (GGA-PBE)

Data for a relaxed Sm5Al4Cu crystal.

For the spin magnetization, the calculation gives 0.0 μB/f.u. Its total energy is -46.0 eV for the cell shown. Its formation energy is -0.329 eV/atom. The space group is P4/mmm, No. 123.

abc: 3.5427 3.5427 19.4535
angles: 90.00 90.00 90.00
Positions (direct):
Sm (0.0000, 0.0000, 0.0000)
Sm (0.0000, 0.0000, 0.2035)
Sm (0.0000, 0.0000, 0.4067)
Sm (0.0000, 0.0000, 0.5933)
Sm (0.0000, 0.0000, 0.7965)
Al (0.5000, 0.5000, 0.1020)
Al (0.5000, 0.5000, 0.3071)
Al (0.5000, 0.5000, 0.6929)
Al (0.5000, 0.5000, 0.8980)
Cu (0.5000, 0.5000, 0.5000)



## FeCo6Ni12 (GGA-PBE)

Data for a relaxed FeCo6Ni12 crystal.

For the spin magnetization, the calculation gives 21.7 μB/f.u. Its total energy is -113.5 eV for the cell shown. Its formation energy is 0.365 eV/atom. The space group is R-3m, No. 166.

abc: 6.5399 6.5399 6.5399
angles: 107.15 107.15 107.15
Positions (direct):
Fe (0.0000, 0.0000, 0.0000)
Co (0.2948, 0.6886, 0.6886)
Co (0.3114, 0.3114, 0.7052)
Co (0.3114, 0.7052, 0.3114)
Co (0.6886, 0.2948, 0.6886)
Co (0.6886, 0.6886, 0.2948)
Co (0.7052, 0.3114, 0.3114)
Ni (0.1016, 0.3381, 0.3381)
Ni (0.1140, 0.5000, 0.8860)
Ni (0.1140, 0.8860, 0.5000)
Ni (0.3381, 0.1016, 0.3381)
Ni (0.3381, 0.3381, 0.1016)
Ni (0.5000, 0.1140, 0.8860)
Ni (0.5000, 0.8860, 0.1140)
Ni (0.6619, 0.6619, 0.8984)
Ni (0.6619, 0.8984, 0.6619)
Ni (0.8860, 0.1140, 0.5000)
Ni (0.8860, 0.5000, 0.1140)
Ni (0.8984, 0.6619, 0.6619)



## In2TeCl (GGA-PBE)

Data for a relaxed In2TeCl crystal.

For the spin magnetization, the calculation gives 0.0 μB/f.u. Its total energy is -12.4 eV for the cell shown. For the formation energy (no corrections), the calculation gives -0.49 eV per atom. The space group is P4mm, No. 99.

abc: 4.3868 4.3868 7.1382
angles: 90.00 90.00 90.00
Positions (direct):
In (0.0000, 0.0000, 0.0000)
In (0.5000, 0.5000, 0.4500)
Te (0.0000, 0.0000, 0.4908)
Cl (0.5000, 0.5000, 0.0615)



## TbYTmCu (GGA-PBE)

Data for a relaxed TbYTmCu crystal.

For the spin magnetization, the calculation gives 0.0 μB/f.u. Its total energy is -20.1 eV for the cell shown. Its formation energy is -0.103 eV/atom. The space group is P4mm, No. 99.

abc: 3.4775 3.4775 8.6949
angles: 90.00 90.00 90.00
Positions (direct):
Tb (0.0000, 0.0000, 0.0000)
Y (0.5000, 0.5000, 0.3061)
Tm (0.0000, 0.0000, 0.6072)
Cu (0.5000, 0.5000, 0.7944)



## Ca2HgPb9 (GGA-PBE)

Data for a relaxed Ca2HgPb9 crystal.

For the spin magnetization, the calculation gives 0.0 μB/f.u. Its total energy is -39.9 eV for the cell shown. Its formation energy is -0.186 eV/atom. The space group is P4/mmm, No. 123.

abc: 4.8477 4.8477 15.4451
angles: 90.00 90.00 90.00
Positions (direct):
Ca (0.0000, 0.0000, 0.1589)
Ca (0.0000, 0.0000, 0.8411)
Hg (0.0000, 0.0000, 0.5000)
Pb (0.0000, 0.5000, 0.0000)
Pb (0.0000, 0.5000, 0.3313)
Pb (0.0000, 0.5000, 0.6687)
Pb (0.5000, 0.0000, 0.0000)
Pb (0.5000, 0.0000, 0.3313)
Pb (0.5000, 0.0000, 0.6687)
Pb (0.5000, 0.5000, 0.1672)
Pb (0.5000, 0.5000, 0.5000)
Pb (0.5000, 0.5000, 0.8328)



## Ba2BeHgP (GGA-PBE)

Data for a relaxed Ba2BeHgP crystal.

For the spin magnetization, the calculation gives 0.0 μB/f.u. Its total energy is -12.8 eV for the cell shown. Its formation energy is 0.102 eV/atom. The space group is P4/mmm, No. 123.

abc: 6.2850 6.2850 4.4783
angles: 90.00 90.00 90.00
Positions (direct):
Ba (0.0000, 0.5000, 0.0000)
Ba (0.5000, 0.0000, 0.0000)
Be (0.0000, 0.0000, 0.5000)
Hg (0.0000, 0.0000, 0.0000)
P (0.5000, 0.5000, 0.5000)



## LiTa2TeRu (GGA-PBE)

Data for a relaxed LiTa2TeRu crystal.

For the spin magnetization, the calculation gives 0.0 μB/f.u. Its total energy is -30.1 eV for the cell shown. For the formation energy (no corrections), the calculation gives 1.60 eV per atom. The space group is P4/mmm, No. 123.

abc: 5.0557 5.0557 4.8180
angles: 90.00 90.00 90.00
Positions (direct):
Li (0.0000, 0.0000, 0.0000)
Ta (0.0000, 0.5000, 0.5000)
Ta (0.5000, 0.0000, 0.5000)
Te (0.5000, 0.5000, 0.5000)
Ru (0.5000, 0.5000, 0.0000)